Computed, not measured: an optimized crystal structure of Mn3Si at the GGA-PBEsol level of DFT.

a b c (Å): 2.738 2.738 5.612
angles (deg): 90.00 90.00 90.00
Space group P4/mmm (No. 123)
Symmetry-distinct sites (fractional):
Mn: 0.000 0.000 0.000
Mn: 0.500 0.500 0.251
Si: 0.000 0.000 0.500

Summary:
ΔE_f (raw) (eV/atom): -0.25
D(E_F) (states/eV/f.u.): 2.98
E (eV for the cell shown): -36.0
V (Å³/atom): 10.5

---

Computed, not measured: an optimized crystal structure of MnBe2Fe at the GGA-PBEsol level of DFT.

a b c (Å): 2.678 2.678 5.133
angles (deg): 90.00 90.00 90.00
Space group P4/mmm (No. 123)
Symmetry-distinct sites (fractional):
Mn: 0.000 0.000 0.000
Be: 0.500 0.500 0.264
Fe: 0.000 0.000 0.500

Summary:
ΔH_f (0 K) (eV/atom): -0.10
D(E_F) (states/eV/f.u.): 2.41
E (eV for the cell shown): -27.1
V (Å³/atom): 9.2

---

Computed, not measured: an optimized crystal structure of Sc5Tl at the GGA-PBEsol level of DFT.

a b c (Å): 4.995 3.318 16.621
angles (deg): 90.00 90.00 90.00
Space group Amm2 (No. 38)
Symmetry-distinct sites (fractional):
Sc: 0.000 0.000 0.000
Sc: 0.000 0.000 0.323
Sc: 0.000 0.000 0.662
Sc: 0.500 0.000 0.111
Sc: 0.500 0.000 0.447
Tl: 0.500 0.000 0.774

Summary:
ΔH_f (0 K) (eV/atom): -0.12
D(E_F) (states/eV/f.u.): 7.78
E (eV for the cell shown): -72.8
V (Å³/atom): 23.0

---

Computed, not measured: an optimized crystal structure of BaSr2Zn at the GGA-PBEsol level of DFT.

a b c (Å): 4.3281 4.3281 33.6795
angles (deg): 90.00 90.00 120.00
Space group R-3m (No. 166, hexagonal axes)
Symmetry-distinct sites (fractional):
Ba: 0.0000 0.0000 0.0000
Sr: 0.0000 0.0000 0.2255
Zn: 0.0000 0.0000 0.5000

Summary:
ΔH_f (0 K) (eV/atom): 0.02
D(E_F) (states/eV/f.u.): 5.30
E (eV for the cell shown): -22.0
V (Å³/atom): 45.5

---

Computed, not measured: an optimized crystal structure of CuWSe at the GGA-PBEsol level of DFT.

a b c (Å): 3.114 3.114 8.861
angles (deg): 90.00 90.00 90.00
Space group I4mm (No. 107)
Symmetry-distinct sites (fractional):
Cu: 0.000 0.000 0.000
W: 0.000 0.000 0.323
Se: 0.000 0.000 0.667

Summary:
ΔE_f (raw) (eV/atom): 0.33
D(E_F) (states/eV/f.u.): 2.79
E (eV for the cell shown): -42.0
V (Å³/atom): 14.3

---

Computed, not measured: an optimized crystal structure of InWBr at the GGA-PBEsol level of DFT.

a b c (Å): 4.6566 4.6566 3.0036
angles (deg): 90.00 90.00 120.00
Space group P-6m2 (No. 187)
Symmetry-distinct sites (fractional):
In: 0.0000 0.0000 0.0000
W: 0.3333 0.6667 0.5000
Br: 0.6667 0.3333 0.5000

Summary:
ΔE_f (raw) (eV/atom): 0.79
D(E_F) (states/eV/f.u.): 2.75
E (eV for the cell shown): -16.3
V (Å³/atom): 18.8

---

Computed, not measured: an optimized crystal structure of TiPbS2 at the GGA-PBEsol level of DFT.

a b c (Å): 3.3674 3.3674 25.8489
angles (deg): 90.00 90.00 120.00
Space group R-3m (No. 166, hexagonal axes)
Symmetry-distinct sites (fractional):
Ti: 0.0000 0.0000 0.0000
Pb: 0.0000 0.0000 0.5000
S: 0.0000 0.0000 0.3889

Summary:
ΔE_f (raw) (eV/atom): -1.06
D(E_F) (states/eV/f.u.): 2.08
E (eV for the cell shown): -76.0
V (Å³/atom): 21.2

---

Computed, not measured: an optimized crystal structure of BiPd2Pb at the GGA-PBEsol level of DFT.

a b c (Å): 7.167 8.660 5.559
angles (deg): 90.00 108.33 90.00
Space group Cm (No. 8)
Symmetry-distinct sites (fractional):
Bi: 0.000 0.224 0.000
Pd: 0.136 0.244 0.554
Pd: 0.181 0.500 0.890
Pd: 0.273 0.000 0.899
Pb: 0.349 0.500 0.435
Pb: 0.364 0.000 0.430

Summary:
ΔH_f (0 K) (eV/atom): -0.30
D(E_F) (states/eV/f.u.): 1.45
E (eV for the cell shown): -85.6
V (Å³/atom): 20.5

---

Computed, not measured: an optimized crystal structure of BaSrLaBiO6 at the GGA-PBEsol level of DFT.

a b c (Å): 8.779 8.779 8.779
angles (deg): 90.00 90.00 90.00
Space group F-43m (No. 216)
Symmetry-distinct sites (fractional):
Ba: 0.000 0.000 0.000
Sr: 0.000 0.000 0.500
La: 0.250 0.250 0.750
Bi: 0.250 0.250 0.250
O: 0.011 0.250 0.250

Summary:
ΔE_f (raw) (eV/atom): -2.31
D(E_F) (states/eV/f.u.): 0.00
E (eV for the cell shown): -273.0
V (Å³/atom): 16.9

---

Computed, not measured: an optimized crystal structure of MnTl2Au at the GGA-PBEsol level of DFT.

a b c (Å): 3.123 4.777 11.162
angles (deg): 90.00 90.00 90.00
Space group Imm2 (No. 44)
Symmetry-distinct sites (fractional):
Mn: 0.000 0.000 0.000
Tl: 0.000 0.000 0.485
Tl: 0.000 0.500 0.276
Au: 0.000 0.500 0.691

Summary:
ΔH_f (0 K) (eV/atom): 0.28
D(E_F) (states/eV/f.u.): 1.88
E (eV for the cell shown): -35.7
V (Å³/atom): 20.8

---

Computed, not measured: an optimized crystal structure of Ba8Li13GaSb12 at the GGA-PBEsol level of DFT.

a b c (Å): 17.995 4.920 20.841
angles (deg): 90.00 96.91 90.00
Space group Cm (No. 8)
Symmetry-distinct sites (fractional):
Ba: 0.000 0.000 0.000
Ba: 0.000 0.500 0.497
Ba: 0.269 0.500 0.917
Ba: 0.272 0.000 0.412
Ba: 0.317 0.500 0.129
Ba: 0.320 0.000 0.626
Ba: 0.455 0.000 0.284
Ba: 0.456 0.500 0.787
Li: 0.000 0.500 0.115
Li: 0.073 0.000 0.408
Li: 0.074 0.500 0.912
Li: 0.127 0.000 0.283
Li: 0.127 0.500 0.787
Li: 0.133 0.000 0.712
Li: 0.135 0.500 0.202
Li: 0.145 0.000 0.129
Li: 0.195 0.000 0.003
Li: 0.201 0.500 0.504
Li: 0.268 0.500 0.297
Li: 0.270 0.000 0.798
Li: 0.496 0.500 0.615
Ga: 0.146 0.500 0.629
Sb: 0.010 0.000 0.183
Sb: 0.015 0.500 0.682
Sb: 0.135 0.000 0.862
Sb: 0.135 0.500 0.370
Sb: 0.136 0.500 0.048
Sb: 0.137 0.000 0.554
Sb: 0.261 0.000 0.230
Sb: 0.261 0.500 0.726
Sb: 0.362 0.000 0.019
Sb: 0.363 0.500 0.520
Sb: 0.407 0.000 0.892
Sb: 0.409 0.500 0.394

Summary:
ΔE_f (raw) (eV/atom): -0.85
D(E_F) (states/eV/f.u.): 5.90
E (eV for the cell shown): -259.2
V (Å³/atom): 26.9

---

Computed, not measured: an optimized crystal structure of TaNiSeN2 at the GGA-PBEsol level of DFT.

a b c (Å): 3.737 3.737 4.395
angles (deg): 90.00 90.00 90.00
Space group P4/mmm (No. 123)
Symmetry-distinct sites (fractional):
Ta: 0.000 0.000 0.000
Ni: 0.500 0.500 0.500
Se: 0.500 0.500 0.000
N: 0.000 0.500 0.500

Summary:
ΔE_f (raw) (eV/atom): 1.04
D(E_F) (states/eV/f.u.): 3.98
E (eV for the cell shown): -34.4
V (Å³/atom): 12.3